1.
The following is a DFT calculation (PBE) of a relaxed SrZnMo2 crystal.

Cell and atoms, written as CIF:
```
data_SrZnMo2
_chemical_formula_sum 'Sr2 Zn2 Mo4'
_cell_length_a 5.704
_cell_length_b 9.956
_cell_length_c 2.712
_cell_angle_alpha 90.00
_cell_angle_beta 90.00
_cell_angle_gamma 90.00
_symmetry_space_group_name_H-M 'C m m m'
_symmetry_Int_Tables_number 65
_symmetry_space_group_name_Hall '-C 2 2'
loop_
_atom_site_label
_atom_site_type_symbol
_atom_site_fract_x
_atom_site_fract_y
_atom_site_fract_z
Sr1 Sr 0.000 0.000 0.000
Zn1 Zn 0.000 0.500 0.000
Mo1 Mo 0.250 0.250 0.500
```



2.
The following is a DFT calculation (PBE) of a relaxed Zr5W crystal.

Cell and atoms, written as CIF:
```
data_Zr5W
_chemical_formula_sum 'Zr20 W4'
_cell_length_a 8.040
_cell_length_b 8.040
_cell_length_c 8.040
_cell_angle_alpha 90.00
_cell_angle_beta 90.00
_cell_angle_gamma 90.00
_symmetry_space_group_name_H-M 'F -4 3 m'
_symmetry_Int_Tables_number 216
_symmetry_space_group_name_Hall 'F -4 2 3'
loop_
_atom_site_label
_atom_site_type_symbol
_atom_site_fract_x
_atom_site_fract_y
_atom_site_fract_z
Zr1 Zr 0.000 0.000 0.000
Zr2 Zr 0.125 0.125 0.625
W1 W 0.250 0.250 0.250
```



3.
The following is a DFT calculation (PBE) of a relaxed CaBe2Pd2 crystal.

Cell and atoms, written as CIF:
```
data_CaBe2Pd2
_chemical_formula_sum 'Ca2 Be4 Pd4'
_cell_length_a 7.191
_cell_length_b 7.191
_cell_length_c 2.829
_cell_angle_alpha 90.00
_cell_angle_beta 90.00
_cell_angle_gamma 90.00
_symmetry_space_group_name_H-M 'P 4/m b m'
_symmetry_Int_Tables_number 127
_symmetry_space_group_name_Hall '-P 4 2ab'
loop_
_atom_site_label
_atom_site_type_symbol
_atom_site_fract_x
_atom_site_fract_y
_atom_site_fract_z
Ca1 Ca 0.000 0.000 0.000
Be1 Be 0.129 0.371 0.500
Pd1 Pd 0.150 0.650 0.000
```



Calculated total energy, respectively: -5.203 -8.758 -4.322 eV per atom.
Ρ, respectively: 7.44 8.18 6.15 g/cm³.
Formation enthalpy at 0 K, respectively: 0.95 0.52 -0.35 eV per atom.